Entry 1:
This record from Alexandria describes crystalline SrTcMo at its relaxed geometry. The functional is PBE.

Cell lengths 4.5703, 4.5703, 4.5703 Å; angles 60.00, 60.00, 60.00 degrees
Closest atoms and distances in Å follow each position.
Atoms (fractional coordinates):
Sr1 0.0000 0.0000 0.0000  4 Tc 2.80
Tc1 0.2500 0.2500 0.2500  4 Mo 2.80, 4 Sr 2.80
Mo1 0.5000 0.5000 0.5000  4 Tc 2.80

## Properties
- calculated volume (Å³/cell) = 67.5
- VASP energy (eV per atom) = -6.45
- ΔH_f (0 K) (meV/atom) = 1174
- space group = F-43m (216)

=====

Entry 2:
This record from Alexandria describes crystalline Ho3UAs4 at its relaxed geometry. The functional is PBE.

Cell lengths 7.0857, 7.0857, 7.0857 Å; angles 131.78, 131.78, 70.57 degrees
Closest atoms and distances in Å follow each position.
Atoms (fractional coordinates):
Ho1 0.0000 0.0000 0.0000  6 As 2.89-2.93
Ho2 0.2500 0.7500 0.5000  6 As 2.89
Ho3 0.7500 0.2500 0.5000  6 As 2.89
U1 0.5000 0.5000 0.0000  6 As 2.85-2.89
As1 0.0000 0.5000 0.5000  4 Ho 2.89, 2 U 2.89
As2 0.2533 0.2533 0.0000  1 U 2.85, 5 Ho 2.89-2.93
As3 0.5000 0.0000 0.5000  4 Ho 2.89, 2 U 2.89
As4 0.7467 0.7467 0.0000  1 U 2.85, 5 Ho 2.89-2.93

## Properties
- calculated volume (Å³/cell) = 193.8
- VASP energy (eV per atom) = -6.78
- ΔH_f (0 K) (meV/atom) = -1325
- space group = I4/mmm (139)

=====

Entry 3:
This record from Alexandria describes crystalline ZrBeAg at its relaxed geometry. The functional is PBE.

Cell lengths 4.2226, 4.2226, 4.2226 Å; angles 60.00, 60.00, 60.00 degrees
Closest atoms and distances in Å follow each position.
Atoms (fractional coordinates):
Zr1 0.0000 0.0000 0.0000  4 Be 2.59
Be1 0.2500 0.2500 0.2500  4 Zr 2.59, 4 Ag 2.59
Ag1 0.5000 0.5000 0.5000  4 Be 2.59

## Properties
- calculated volume (Å³/cell) = 53.2
- VASP energy (eV per atom) = -4.79
- ΔH_f (0 K) (meV/atom) = 256
- space group = F-43m (216)

=====

Entry 4:
This record from Alexandria describes crystalline U8As5S3 at its relaxed geometry. The functional is PBE.

Cell lengths 7.9333, 7.9333, 7.9333 Å; angles 61.22, 61.22, 61.22 degrees
Closest atoms and distances in Å follow each position.
Atoms (fractional coordinates):
U1 0.2393 0.7498 0.7498  2 S 2.77, 4 As 2.83-2.89
U2 0.2446 0.2446 0.2446  3 S 2.77, 3 As 2.89
U3 0.2502 0.2502 0.7607  2 S 2.77, 4 As 2.83-2.89
U4 0.2502 0.7607 0.2502  2 S 2.77, 4 As 2.83-2.89
U5 0.7498 0.2393 0.7498  2 S 2.77, 4 As 2.83-2.89
U6 0.7498 0.7498 0.2393  2 S 2.77, 4 As 2.83-2.89
U7 0.7554 0.7554 0.7554  3 S 2.77, 3 As 2.89
U8 0.7607 0.2502 0.2502  2 S 2.77, 4 As 2.83-2.89
As1 0.0000 0.0000 0.0000  6 U 2.83
As2 0.0000 0.5000 0.5000  6 U 2.89
As3 0.5000 0.0000 0.5000  6 U 2.89
As4 0.5000 0.5000 0.0000  6 U 2.89
As5 0.5000 0.5000 0.5000  6 U 2.83
S1 0.0000 0.0000 0.5000  6 U 2.77
S2 0.0000 0.5000 0.0000  6 U 2.77
S3 0.5000 0.0000 0.0000  6 U 2.77

## Properties
- calculated volume (Å³/cell) = 362.7
- VASP energy (eV per atom) = -8.82
- space group = R-3m (166)
- formation energy from raw total energies (kcal/mol of atoms) = -21.98

=====

Entry 5:
This record from Alexandria describes crystalline Nd2YScS4 at its relaxed geometry. The functional is PBE.

Cell lengths 6.7664, 3.8838, 6.9629 Å; angles 90.00, 108.75, 90.00 degrees
Closest atoms and distances in Å follow each position.
Atoms (fractional coordinates):
Nd1 0.0000 0.0000 0.0000  6 S 2.91
Nd2 0.5000 0.5000 0.0000  6 S 2.85
Y1 0.0000 0.5000 0.5000  6 S 2.73-2.74
Sc1 0.5000 0.0000 0.5000  6 S 2.67
S1 0.2510 0.0000 0.7296  1 Sc 2.67, 2 Y 2.73, 3 Nd 2.85-2.91
S2 0.2669 0.5000 0.2759  2 Sc 2.67, 1 Y 2.74, 3 Nd 2.85-2.91
S3 0.7331 0.5000 0.7241  2 Sc 2.67, 1 Y 2.74, 3 Nd 2.85-2.91
S4 0.7490 0.0000 0.2704  1 Sc 2.67, 2 Y 2.73, 3 Nd 2.85-2.91

## Properties
- calculated volume (Å³/cell) = 173.3
- VASP energy (eV per atom) = -6.82
- space group = P2/m (10)
- formation energy from raw total energies (kcal/mol of atoms) = -45.26

=====

Entry 6:
This record from Alexandria describes crystalline Cd7Cu2Pd2 at its relaxed geometry. The functional is PBE.

Cell lengths 5.7217, 5.7217, 7.8149 Å; angles 90.00, 90.00, 118.73 degrees
Closest atoms and distances in Å follow each position.
Atoms (fractional coordinates):
Cd1 0.0000 0.0000 0.0000  2 Pd 2.69
Cd2 0.0000 0.5000 0.3116  2 Pd 2.85, 2 Cu 2.88, 5 Cd 2.92-2.97
Cd3 0.0000 0.5000 0.6884  2 Pd 2.85, 2 Cu 2.88, 5 Cd 2.92-2.97
Cd4 0.5000 0.0000 0.3116  2 Pd 2.85, 2 Cu 2.88, 5 Cd 2.92-2.97
Cd5 0.5000 0.0000 0.6884  2 Pd 2.85, 2 Cu 2.88, 5 Cd 2.92-2.97
Cd6 0.5000 0.5000 0.2077  2 Pd 2.76, 2 Cu 2.82, 4 Cd 2.97
Cd7 0.5000 0.5000 0.7923  2 Pd 2.76, 2 Cu 2.82, 4 Cd 2.97
Cu1 0.2156 0.2156 0.5000  1 Cu 2.51
Cu2 0.7844 0.7844 0.5000  1 Cu 2.51
Pd1 0.2728 0.7272 0.0000  7 Cd 2.69-2.85, 2 Pd 2.95
Pd2 0.7272 0.2728 0.0000  7 Cd 2.69-2.85, 2 Pd 2.95

## Properties
- calculated volume (Å³/cell) = 224.4
- VASP energy (eV per atom) = -2.26
- ΔH_f (0 K) (meV/atom) = 8
- space group = Cmmm (65)

=====

Entry 7:
This record from Alexandria describes crystalline Ac2TlRh2O6 at its relaxed geometry. The functional is PBE.

Cell lengths 6.6365, 6.6365, 6.6365 Å; angles 54.87, 54.87, 54.87 degrees
Closest atoms and distances in Å follow each position.
Atoms (fractional coordinates):
Ac1 0.2165 0.2165 0.2165  3 O 2.55
Ac2 0.7835 0.7835 0.7835  3 O 2.55
Tl1 0.0000 0.0000 0.0000  6 O 2.30
Rh1 0.4072 0.4072 0.4072  3 O 1.98
Rh2 0.5928 0.5928 0.5928  3 O 1.98
O1 0.2018 0.7515 0.7515  1 Rh 1.98
O2 0.2485 0.2485 0.7982  1 Rh 1.98
O3 0.2485 0.7982 0.2485  1 Rh 1.98
O4 0.7515 0.2018 0.7515  1 Rh 1.98
O5 0.7515 0.7515 0.2018  1 Rh 1.98
O6 0.7982 0.2485 0.2485  1 Rh 1.98

## Properties
- calculated volume (Å³/cell) = 182.0
- VASP energy (eV per atom) = -6.32
- space group = R-3m (166)
- formation energy from raw total energies (kcal/mol of atoms) = -30.34

=====

Entry 8:
This record from Alexandria describes crystalline BeNbRu at its relaxed geometry. The functional is PBE.

Cell lengths 8.6164, 3.1186, 6.3207 Å; angles 90.00, 90.00, 90.00 degrees
Closest atoms and distances in Å follow each position.
Atoms (fractional coordinates):
Be1 0.0938 0.2500 0.0088  2 Be 2.25, 2 Ru 2.37
Be2 0.4062 0.7500 0.5088  2 Be 2.25, 2 Ru 2.37
Be3 0.5938 0.2500 0.4912  2 Be 2.25, 2 Ru 2.37
Be4 0.9062 0.7500 0.9912  2 Be 2.25, 2 Ru 2.37
Nb1 0.1148 0.7500 0.3360  5 Ru 2.51-2.73, 3 Be 2.60-2.74
Nb2 0.3852 0.2500 0.8360  5 Ru 2.51-2.73, 3 Be 2.60-2.74
Nb3 0.6148 0.7500 0.1640  5 Ru 2.51-2.73, 3 Be 2.60-2.74
Nb4 0.8852 0.2500 0.6640  5 Ru 2.51-2.73, 3 Be 2.60-2.74
Ru1 0.1367 0.7500 0.7324  3 Be 2.37-2.57, 1 Nb 2.51
Ru2 0.3633 0.2500 0.2324  3 Be 2.37-2.57, 1 Nb 2.51
Ru3 0.6367 0.7500 0.7676  3 Be 2.37-2.57, 1 Nb 2.51
Ru4 0.8633 0.2500 0.2676  3 Be 2.37-2.57, 1 Nb 2.51

## Properties
- calculated volume (Å³/cell) = 169.8
- VASP energy (eV per atom) = -7.81
- ΔH_f (0 K) (meV/atom) = -124
- space group = Pnma (62)

=====

Entry 9:
This record from Alexandria describes crystalline SrLi2Pr2Ga2 at its relaxed geometry. The functional is PBE.

Cell lengths 9.9434, 9.9434, 9.9434 Å; angles 27.90, 27.90, 27.90 degrees
Closest atoms and distances in Å follow each position.
Atoms (fractional coordinates):
Sr1 0.0000 0.0000 0.0000  6 Li 3.45, 6 Ga 3.61, 2 Pr 3.68
Li1 0.4050 0.4050 0.4050  3 Ga 2.78
Li2 0.5950 0.5950 0.5950  3 Ga 2.78
Pr1 0.1285 0.1285 0.1285  3 Ga 3.09, 3 Li 3.21
Pr2 0.8715 0.8715 0.8715  3 Ga 3.09, 3 Li 3.21
Ga1 0.2527 0.2527 0.2527  3 Li 2.78, 3 Pr 3.09
Ga2 0.7473 0.7473 0.7473  3 Li 2.78, 3 Pr 3.09

## Properties
- calculated volume (Å³/cell) = 190.1
- VASP energy (eV per atom) = -3.28
- ΔH_f (0 K) (meV/atom) = -258
- space group = R-3m (166)

=====

Entry 10:
This record from Alexandria describes crystalline Pr2Zn4RhAu3 at its relaxed geometry. The functional is PBE.

Cell lengths 4.2476, 4.2476, 11.1824 Å; angles 90.00, 90.00, 90.00 degrees
Closest atoms and distances in Å follow each position.
Atoms (fractional coordinates):
Pr1 0.0000 0.5000 0.2406  8 Zn 3.25-3.59, 6 Au 3.28-3.43, 2 Rh 3.43
Pr2 0.5000 0.0000 0.7594  8 Zn 3.25-3.59, 6 Au 3.28-3.43, 2 Rh 3.43
Zn1 0.0000 0.0000 0.5000  4 Au 2.65
Zn2 0.0000 0.5000 0.8710  3 Au 2.56-2.57, 2 Rh 2.57
Zn3 0.5000 0.0000 0.1290  3 Au 2.56-2.57, 2 Rh 2.57
Zn4 0.5000 0.5000 0.5000  4 Au 2.65
Rh1 0.5000 0.5000 0.0000  4 Zn 2.57
Au1 0.0000 0.0000 0.0000  4 Zn 2.57
Au2 0.0000 0.5000 0.6420  5 Zn 2.56-2.65
Au3 0.5000 0.0000 0.3580  5 Zn 2.56-2.65

## Properties
- calculated volume (Å³/cell) = 201.8
- VASP energy (eV per atom) = -3.69
- ΔH_f (0 K) (meV/atom) = -511
- space group = P-4m2 (115)

=====

Entry 11:
This record from Alexandria describes crystalline CdTeRu2 at its relaxed geometry. The functional is PBE.

Cell lengths 4.6713, 4.6713, 4.6713 Å; angles 60.00, 60.00, 60.00 degrees
Closest atoms and distances in Å follow each position.
Atoms (fractional coordinates):
Cd1 0.0000 0.0000 0.0000  4 Ru 2.86, 4 Te 2.86
Te1 0.2500 0.2500 0.2500  4 Cd 2.86, 4 Ru 2.86
Ru1 0.5000 0.5000 0.5000  4 Te 2.86, 4 Ru 2.86
Ru2 0.7500 0.7500 0.7500  4 Ru 2.86, 4 Cd 2.86

## Properties
- calculated volume (Å³/cell) = 72.1
- VASP energy (eV per atom) = -5.00
- space group = F-43m (216)
- formation energy from raw total energies (kcal/mol of atoms) = 15.02

=====

Entry 12:
This record from Alexandria describes crystalline CsReSCl2 at its relaxed geometry. The functional is PBE.

Cell lengths 5.2178, 5.2178, 4.5269 Å; angles 90.00, 90.00, 90.00 degrees
Closest atoms and distances in Å follow each position.
Atoms (fractional coordinates):
Cs1 0.0000 0.0000 0.0000  8 Cl 3.45, 4 S 3.69
Re1 0.5000 0.5000 0.5000  2 S 2.26
S1 0.5000 0.5000 0.0000  2 Re 2.26
Cl1 0.0000 0.5000 0.5000  2 Re 2.61
Cl2 0.5000 0.0000 0.5000  2 Re 2.61

## Properties
- calculated volume (Å³/cell) = 123.2
- VASP energy (eV per atom) = -4.79
- space group = P4/mmm (123)
- formation energy from raw total energies (kcal/mol of atoms) = -12.99

=====

Entry 13:
This record from Alexandria describes crystalline Ac2P3IrPt12 at its relaxed geometry. The functional is PBE.

Cell lengths 7.9264, 7.9264, 7.9264 Å; angles 62.67, 62.67, 62.67 degrees
Closest atoms and distances in Å follow each position.
Atoms (fractional coordinates):
Ac1 0.1163 0.1163 0.1163  6 Pt 3.04-3.14
Ac2 0.8837 0.8837 0.8837  6 Pt 3.04-3.14
P1 0.0000 0.5000 0.5000  6 Pt 2.28-2.32
P2 0.5000 0.0000 0.5000  6 Pt 2.28-2.32
P3 0.5000 0.5000 0.0000  6 Pt 2.28-2.32
Ir1 0.5000 0.5000 0.5000  6 Pt 2.51
Pt1 0.1251 0.6171 0.6171  1 P 2.28, 1 Ir 2.51
Pt2 0.1575 0.1575 0.6002  2 P 2.32
Pt3 0.1575 0.6002 0.1575  2 P 2.32
Pt4 0.3829 0.3829 0.8749  1 P 2.28, 1 Ir 2.51
Pt5 0.3829 0.8749 0.3829  1 P 2.28, 1 Ir 2.51
Pt6 0.3998 0.8425 0.8425  2 P 2.32
Pt7 0.6002 0.1575 0.1575  2 P 2.32
Pt8 0.6171 0.1251 0.6171  1 P 2.28, 1 Ir 2.51
Pt9 0.6171 0.6171 0.1251  1 P 2.28, 1 Ir 2.51
Pt10 0.8425 0.3998 0.8425  2 P 2.32
Pt11 0.8425 0.8425 0.3998  2 P 2.32
Pt12 0.8749 0.3829 0.3829  1 P 2.28, 1 Ir 2.51

## Properties
- calculated volume (Å³/cell) = 373.0
- VASP energy (eV per atom) = -6.23
- ΔH_f (0 K) (meV/atom) = -357
- space group = R-3m (166)

=====

Entry 14:
This record from Alexandria describes crystalline ZrFe2CoTe at its relaxed geometry. The functional is PBE.

Cell lengths 4.6940, 4.6940, 4.6286 Å; angles 90.00, 90.00, 90.00 degrees
Closest atoms and distances in Å follow each position.
Atoms (fractional coordinates):
Zr1 0.0000 0.0000 0.0000  2 Co 2.31, 4 Fe 2.35
Fe1 0.0000 0.5000 0.0000  2 Zr 2.35
Fe2 0.5000 0.0000 0.0000  2 Zr 2.35
Co1 0.0000 0.0000 0.5000  2 Zr 2.31
Te1 0.5000 0.5000 0.5000  8 Fe 3.30, 4 Co 3.32

## Properties
- calculated volume (Å³/cell) = 102.0
- VASP energy (eV per atom) = -5.78
- space group = P4/mmm (123)
- formation energy from raw total energies (kcal/mol of atoms) = 31.44

=====

Entry 15:
This record from Alexandria describes crystalline CaBeCr2 at its relaxed geometry. The functional is PBE.

Cell lengths 2.9958, 4.0733, 5.6644 Å; angles 90.00, 102.99, 90.00 degrees
Closest atoms and distances in Å follow each position.
Atoms (fractional coordinates):
Ca1 0.0000 0.0000 0.0000  2 Be 2.89, 2 Ca 3.00, 4 Cr 3.17
Be1 0.5000 0.0000 0.5000  4 Cr 2.30
Cr1 0.3012 0.5000 0.6370  2 Cr 2.10-2.16, 2 Be 2.30
Cr2 0.6988 0.5000 0.3630  2 Cr 2.10-2.16, 2 Be 2.30

## Properties
- calculated volume (Å³/cell) = 67.4
- VASP energy (eV per atom) = -5.60
- ΔH_f (0 K) (meV/atom) = 647
- space group = P2/m (10)

=====

Entry 16:
This record from Alexandria describes crystalline BeCdRe2 at its relaxed geometry. The functional is PBE.

Cell lengths 5.2327, 5.2327, 2.6806 Å; angles 99.96, 99.96, 118.99 degrees
Closest atoms and distances in Å follow each position.
Atoms (fractional coordinates):
Be1 0.0000 0.0000 0.0000  2 Cd 2.66, 2 Be 2.68, 4 Re 2.73
Cd1 0.5000 0.5000 0.0000  2 Be 2.66, 2 Cd 2.68, 4 Re 2.73
Re1 0.0000 0.5000 0.5000  4 Re 2.66-2.68, 2 Cd 2.73, 2 Be 2.73
Re2 0.5000 0.0000 0.5000  4 Re 2.66-2.68, 2 Cd 2.73, 2 Be 2.73

## Properties
- calculated volume (Å³/cell) = 60.4
- VASP energy (eV per atom) = -6.77
- ΔH_f (0 K) (meV/atom) = 612
- space group = C2/m (12)